1.
5
Lattice="4.6029 0.0000 0.0000 0.0000 4.6029 0.0000 0.0000 0.0000 4.4724" Properties=species:S:1:pos:R:3 comment="SiOsPdRu2, optimized geometry, DFT PBEsol" space_group="No. 123" dft_energy_ev_per_cell=-36.623 magmom_total_mub_per_fu=0.7 pbc="T T T"
Si 0.0000 0.0000 0.0000
Os 0.0000 0.0000 2.2362
Pd 2.3014 2.3014 0.0000
Ru 0.0000 2.3014 2.2362
Ru 2.3014 0.0000 2.2362

=====

2.
3
Lattice="4.6131 0.0000 0.0000 -2.3065 3.9950 0.0000 0.0000 0.0000 3.6028" Properties=species:S:1:pos:R:3 comment="YTlZn, optimized geometry, DFT PBEsol" formation_enthalpy_0k_ev_per_fu=-1.107 space_group="No. 156" dft_energy_ev_per_cell=-12.141 magmom_total_mub_per_fu=0.0 pbc="T T T"
Y 0.0000 0.0000 0.0000
Tl 2.3065 1.3317 1.8084
Zn 0.0000 2.6634 1.7936

=====

3.
8
Lattice="3.3998 0.0000 0.0000 0.0000 5.2663 0.0000 0.0000 0.0000 10.4388" Properties=species:S:1:pos:R:3 comment="BaScZn2, optimized geometry, DFT PBEsol" formation_enthalpy_0k_ev_per_fu=0.136 space_group="No. 44" e_above_lowest_polymorph_kj_per_mol_atoms=21.2 dft_energy_ev_per_cell=-23.564 magmom_total_mub_per_fu=0.0 pbc="T T T"
Ba 0.0000 0.0000 0.0000
Ba 1.6999 2.6332 5.2194
Sc 0.0000 2.6332 8.4516
Sc 1.6999 0.0000 3.2322
Zn 0.0000 0.0000 5.7314
Zn 0.0000 2.6332 2.4069
Zn 1.6999 0.0000 7.6263
Zn 1.6999 2.6332 0.5120

=====

4.
4
Lattice="3.3634 0.0000 0.0000 0.0000 5.0033 0.0000 -0.9895 0.0000 5.8506" Properties=species:S:1:pos:R:3 comment="Sr2ZrIr, optimized geometry, DFT PBEsol" formation_enthalpy_0k_ev_per_fu=1.980 space_group="No. 10" e_above_lowest_polymorph_kj_per_mol_atoms=0.0 dft_energy_ev_per_cell=-20.614 magmom_total_mub_per_fu=0.0 pbc="T T T"
Sr 0.0161 0.0000 1.5753
Sr 2.3578 0.0000 4.2752
Zr 1.6817 2.5016 0.0000
Ir 1.1869 2.5016 2.9253

=====

5.
52
Lattice="0.0000 7.0815 7.0815 7.0815 0.0000 7.0815 7.0815 7.0815 0.0000" Properties=species:S:1:pos:R:3 comment="Na3MgC2ClO6, optimized geometry, DFT PBEsol" space_group="No. 227" e_above_lowest_polymorph_kj_per_mol_atoms=1.2 dft_energy_ev_per_cell=-332.342 magmom_total_mub_per_fu=0.0 pbc="T T T"
Na 5.3111 5.3111 1.5650
Na 5.3111 1.5650 5.3111
Na 9.0572 5.3111 5.3111
Na 8.8518 8.8518 5.1058
Na 8.8518 5.1058 8.8518
Na 12.5979 8.8518 8.8518
Na 1.5650 5.3111 5.3111
Na 5.3111 9.0572 5.3111
Na 5.3111 5.3111 9.0572
Na 5.1058 8.8518 8.8518
Na 8.8518 12.5979 8.8518
Na 8.8518 8.8518 12.5979
Mg 7.0815 3.5407 3.5407
Mg 3.5407 7.0815 3.5407
Mg 3.5407 3.5407 7.0815
Mg 7.0815 7.0815 7.0815
C 3.9973 3.9973 3.9973
C 6.6249 6.6249 3.9973
C 6.6249 3.9973 6.6249
C 10.1656 7.5381 7.5381
C 3.9973 6.6249 6.6249
C 7.5381 10.1656 7.5381
C 7.5381 7.5381 10.1656
C 10.1656 10.1656 10.1656
Cl 0.0000 0.0000 0.0000
Cl 3.5407 3.5407 0.0000
Cl 3.5407 0.0000 3.5407
Cl 0.0000 3.5407 3.5407
O 5.0414 3.4621 3.4621
O 7.1601 5.5808 3.4621
O 7.1601 3.4621 5.5808
O 9.1216 7.0029 7.0029
O 10.7008 8.5821 7.0029
O 10.7008 7.0029 8.5821
O 3.4621 5.0414 3.4621
O 5.5808 7.1601 3.4621
O 3.4621 3.4621 5.0414
O 7.1601 7.1601 5.0414
O 5.5808 3.4621 7.1601
O 7.1601 5.0414 7.1601
O 7.0029 9.1216 7.0029
O 8.5821 10.7008 7.0029
O 7.0029 7.0029 9.1216
O 10.7008 10.7008 9.1216
O 8.5821 7.0029 10.7008
O 10.7008 9.1216 10.7008
O 3.4621 7.1601 5.5808
O 3.4621 5.5808 7.1601
O 5.0414 7.1601 7.1601
O 7.0029 10.7008 8.5821
O 7.0029 8.5821 10.7008
O 9.1216 10.7008 10.7008

=====

6.
6
Lattice="2.6328 0.0000 0.0000 0.0000 4.6101 0.0000 0.0000 0.0000 12.0063" Properties=species:S:1:pos:R:3 comment="KMgRe, optimized geometry, DFT PBEsol" formation_enthalpy_0k_ev_per_fu=3.230 space_group="No. 44" e_above_lowest_polymorph_kj_per_mol_atoms=0.0 dft_energy_ev_per_cell=-25.905 magmom_total_mub_per_fu=0.0 pbc="T T T"
K 0.0000 0.0000 0.0000
K 1.3164 2.3051 6.0032
Mg 0.0000 0.0000 8.6771
Mg 1.3164 2.3051 2.6739
Re 0.0000 0.0000 3.4829
Re 1.3164 2.3051 9.4861

=====

7.
2
Lattice="3.2886 0.0000 0.0000 0.0000 3.2886 0.0000 0.0000 0.0000 3.2886" Properties=species:S:1:pos:R:3 comment="ZrZn, optimized geometry, DFT PBEsol" formation_enthalpy_0k_ev_per_fu=-0.593 space_group="No. 221" dft_energy_ev_per_cell=-11.265 magmom_total_mub_per_fu=0.0 pbc="T T T"
Zr 0.0000 0.0000 0.0000
Zn 1.6443 1.6443 1.6443

=====

8.
4
Lattice="3.4646 0.0000 0.0000 0.0000 3.4646 0.0000 0.0000 0.0000 7.2044" Properties=species:S:1:pos:R:3 comment="LiCrPb2, optimized geometry, DFT PBEsol" formation_enthalpy_0k_ev_per_fu=0.767 space_group="No. 123" dft_energy_ev_per_cell=-19.439 magmom_total_mub_per_fu=4.0 pbc="T T T"
Li 0.0000 0.0000 0.0000
Cr 0.0000 0.0000 3.6022
Pb 1.7323 1.7323 1.8636
Pb 1.7323 1.7323 5.3408

=====

9.
8
Lattice="2.4146 0.0000 0.0000 0.0000 7.8015 0.0000 -0.9014 0.0000 4.5619" Properties=species:S:1:pos:R:3 comment="Fe3Co5, optimized geometry, DFT PBEsol" formation_enthalpy_0k_ev_per_fu=0.468 space_group="No. 3" dft_energy_ev_per_cell=-65.108 magmom_total_mub_per_fu=16.0 pbc="T T T"
Fe 0.0000 0.0000 0.0000
Fe -0.0626 5.8413 3.4130
Fe 1.5759 5.8413 1.1489
Co 0.0000 3.9176 0.0000
Co -0.1956 1.9542 3.4414
Co 0.7566 0.0348 2.2810
Co 0.7566 3.8519 2.2810
Co 1.7088 1.9542 1.1205

=====

10.
4
Lattice="2.7975 0.0000 0.0000 0.0000 2.7975 0.0000 0.0000 0.0000 6.0632" Properties=species:S:1:pos:R:3 comment="Be2CuAs, optimized geometry, DFT PBEsol" formation_enthalpy_0k_ev_per_fu=1.105 space_group="No. 123" dft_energy_ev_per_cell=-16.336 magmom_total_mub_per_fu=0.0 pbc="T T T"
Be 0.0000 0.0000 1.1529
Be 0.0000 0.0000 4.9103
Cu 1.3988 1.3988 0.0000
As 1.3988 1.3988 3.0316

=====

11.
50
Lattice="8.7574 0.0000 0.0000 0.0000 9.6712 0.0000 -3.8504 0.0000 8.3302" Properties=species:S:1:pos:R:3 comment="Ba3In2P4O16, optimized geometry, DFT PBEsol" space_group="No. 14" dft_energy_ev_per_cell=-364.711 magmom_total_mub_per_fu=0.0 pbc="T T T"
Ba 0.0000 0.0000 0.0000
Ba -1.9252 4.8356 4.1651
Ba 0.6675 1.7558 3.6242
Ba -1.2577 3.0798 7.7894
Ba 6.1646 6.5914 0.5409
Ba 4.2394 7.9154 4.7060
In 1.2744 6.0870 2.1701
In -0.6508 8.4198 6.3352
In 5.5577 1.2514 1.9950
In 3.6325 3.5842 6.1601
P -2.9383 6.0995 7.1858
P -1.0131 8.4073 3.0207
P 1.0299 5.6661 5.6529
P 2.9551 8.8407 1.4878
P 1.9518 0.8305 6.8424
P 3.8770 4.0051 2.6773
P 5.9201 1.2639 5.3096
P 7.8453 3.5717 1.1445
O -0.5404 4.9301 1.8274
O -2.4656 9.5767 5.9925
O -1.6140 2.1432 5.0361
O 0.3113 2.6924 0.8709
O -2.0755 6.8031 6.0913
O -0.1503 7.7037 1.9262
O 1.7407 5.7144 0.1051
O -0.1845 8.7924 4.2702
O 0.6069 6.0422 4.2145
O 2.5321 8.4646 0.0494
O 2.0955 0.3591 1.9333
O 0.1703 4.4765 6.0984
O 0.4254 0.5485 6.7657
O 2.3506 4.2871 2.6006
O 0.8207 6.8985 6.6062
O 2.7459 7.6083 2.4410
O 2.1611 2.0629 5.8892
O 4.0863 2.7727 1.7241
O 2.5564 5.3841 5.7296
O 4.4816 9.1227 1.5645
O 4.7367 5.1947 2.2319
O 2.8115 9.3121 6.3970
O 2.3748 1.2066 8.2808
O 4.3000 3.6290 4.1157
O 5.0915 0.8788 4.0601
O 3.1662 3.9568 8.2252
O 5.0572 1.9675 6.4040
O 6.9824 2.8681 2.2389
O 4.5957 6.9788 7.4593
O 6.5209 7.5280 3.2942
O 7.3725 0.0945 2.3377
O 5.4473 4.7411 6.5028

=====

12.
5
Lattice="4.6729 0.0000 0.0000 0.0000 4.6729 0.0000 0.0000 0.0000 4.6729" Properties=species:S:1:pos:R:3 comment="KZrCo3, optimized geometry, DFT PBEsol" formation_enthalpy_0k_ev_per_fu=7.017 space_group="No. 221" dft_energy_ev_per_cell=-26.418 magmom_total_mub_per_fu=1.9 pbc="T T T"
K 0.0000 0.0000 0.0000
Zr 2.3365 2.3365 2.3365
Co 0.0000 2.3365 2.3365
Co 2.3365 0.0000 2.3365
Co 2.3365 2.3365 0.0000

=====

What did the seventh record say?
2
Lattice="3.2886 0.0000 0.0000 0.0000 3.2886 0.0000 0.0000 0.0000 3.2886" Properties=species:S:1:pos:R:3 comment="ZrZn, optimized geometry, DFT PBEsol" formation_enthalpy_0k_ev_per_fu=-0.593 space_group="No. 221" dft_energy_ev_per_cell=-11.265 magmom_total_mub_per_fu=0.0 pbc="T T T"
Zr 0.0000 0.0000 0.0000
Zn 1.6443 1.6443 1.6443

=====

Repeat the eighth record exactly.
4
Lattice="3.4646 0.0000 0.0000 0.0000 3.4646 0.0000 0.0000 0.0000 7.2044" Properties=species:S:1:pos:R:3 comment="LiCrPb2, optimized geometry, DFT PBEsol" formation_enthalpy_0k_ev_per_fu=0.767 space_group="No. 123" dft_energy_ev_per_cell=-19.439 magmom_total_mub_per_fu=4.0 pbc="T T T"
Li 0.0000 0.0000 0.0000
Cr 0.0000 0.0000 3.6022
Pb 1.7323 1.7323 1.8636
Pb 1.7323 1.7323 5.3408

=====

What did the first record say?
5
Lattice="4.6029 0.0000 0.0000 0.0000 4.6029 0.0000 0.0000 0.0000 4.4724" Properties=species:S:1:pos:R:3 comment="SiOsPdRu2, optimized geometry, DFT PBEsol" space_group="No. 123" dft_energy_ev_per_cell=-36.623 magmom_total_mub_per_fu=0.7 pbc="T T T"
Si 0.0000 0.0000 0.0000
Os 0.0000 0.0000 2.2362
Pd 2.3014 2.3014 0.0000
Ru 0.0000 2.3014 2.2362
Ru 2.3014 0.0000 2.2362